RbZnNiF6 PBE+U relaxed; electronic total energy = -71.7 eV/cell
1.0
7.5363 0.0000 0.0000
0.0000 7.1542 0.0000
-3.7682 -3.5771 5.0396
F Rb Zn Ni
12 2 2 2
Cartesian
2.2157 4.0379 1.2790 F
5.3206 4.0379 1.2790 F
3.7682 -1.7885 3.2071 F
3.7682 1.7885 0.8656 F
-1.5525 -0.4608 3.7605 F
0.0000 1.7885 4.1739 F
0.0000 5.3656 1.8324 F
-1.5525 4.0379 3.7605 F
1.5525 -0.4608 3.7605 F
5.3206 -0.4608 1.2790 F
1.5525 4.0379 3.7605 F
2.2157 -0.4608 1.2790 F
3.7682 1.7885 3.8417 Rb
0.0000 1.7885 1.1978 Rb
3.7682 0.0000 0.0000 Zn
3.7682 3.5771 0.0000 Zn
-1.8841 -1.7885 2.5198 Ni
1.8841 -1.7885 2.5198 Ni